A PBEsol-optimized structure of InCuAs3, computed with SCAN.

DFT total energy	-20.44	eV per atom
symmetry	Pm-3m
magnetization	0.0	μB per formula unit
formation energy	1389	meV/atom
Fermi-level density of states	0.867	states/eV per atom

Lattice parameters (Å, degrees): 5.109 5.109 5.109 90.00 90.00 90.00
Atoms (fractional coordinates):
In  0.000  0.000  0.000
Cu  0.500  0.500  0.500
As  0.000  0.000  0.500
As  0.000  0.500  0.000
As  0.500  0.000  0.000